A plane-wave DFT calculation with PBE+U was carried out for a relaxed PmErMn2O6 crystal.

Cell and atoms, written as POSCAR:
```
PmErMn2O6
1.0
-0.821 -5.354 0.995
3.957 -3.257 2.668
-0.699 -1.722 5.158
Pm Er Mn O
1 1 2 6
direct
0.748 0.791 0.704 Pm
0.293 0.233 0.179 Er
0.519 0.515 0.453 Mn
0.015 0.020 0.948 Mn
0.694 0.204 0.241 O
0.317 0.843 0.151 O
0.876 0.626 0.214 O
0.317 0.854 0.641 O
0.706 0.191 0.763 O
0.177 0.385 0.721 O
```

**Space group**: P1
**VASP energy**: -7.95 eV/atom